1.
First-principles (PBE-GGA) data for a relaxed Al2WSe crystal, as listed in Alexandria.

```
8
Lattice="-3.5812 3.5812 2.7518 3.5812 -3.5812 2.7518 3.5812 3.5812 -2.7518" Properties=species:S:1:pos:R:3 pbc="T T T"
Al 5.3719 1.7183 -0.6879
Al 1.7183 1.7906 0.6879
Al -1.7906 1.8629 2.0638
Al 1.8629 1.7906 3.4397
W 3.5812 0.0000 1.3759
W 0.0000 0.0000 2.7518
Se 0.0000 0.0000 0.0000
Se 0.0000 3.5812 1.3759
```


2.
First-principles (PBE-GGA) data for a relaxed AlW2Se2 crystal, as listed in Alexandria.

- Relative energy among the computed polymorphs: 0.0000 eV/atom

```
5
Lattice="-1.9226 1.9226 7.3123 1.9226 -1.9226 7.3123 1.9226 1.9226 -7.3123" Properties=species:S:1:pos:R:3 pbc="T T T"
Al 0.0000 0.0000 0.0000
W 1.9226 0.0000 3.6561
W 0.0000 1.9226 3.6561
Se 0.0000 0.0000 5.4276
Se 0.0000 0.0000 9.1970
```


3.
First-principles (PBE-GGA) data for a relaxed AlWSe2 crystal, as listed in Alexandria.

```
4
Lattice="3.2336 0.0000 0.0000 0.0000 3.2336 0.0000 0.0000 0.0000 7.5684" Properties=species:S:1:pos:R:3 pbc="T T T"
Al 0.0000 0.0000 0.0000
W 1.6168 1.6168 6.0371
Se 0.0000 0.0000 4.5768
Se 1.6168 1.6168 1.1946
```


4.
First-principles (PBE-GGA) data for a relaxed AlWSe3 crystal, as listed in Alexandria.

- Relative energy among the computed polymorphs: 0.5973 eV/atom

```
5
Lattice="4.7871 0.0000 0.0000 0.0000 4.7871 0.0000 0.0000 0.0000 4.7871" Properties=species:S:1:pos:R:3 pbc="T T T"
Al 0.0000 0.0000 0.0000
W 2.3935 2.3935 2.3935
Se 0.0000 0.0000 2.3935
Se 0.0000 2.3935 0.0000
Se 2.3935 0.0000 0.0000
```


5.
First-principles (PBE-GGA) data for a relaxed AlWSe2 crystal, as listed in Alexandria.

```
4
Lattice="4.8633 -1.5711 0.0000 4.8633 1.5711 0.0000 -2.5452 0.0000 6.4242" Properties=species:S:1:pos:R:3 pbc="T T T"
Al 0.0000 0.0000 0.0000
W 7.0314 0.0000 0.2103
Se 0.5353 0.0000 4.8844
Se 3.2741 0.0000 1.8363
```


6.
First-principles (PBE-GGA) data for a relaxed Al2WSe crystal, as listed in Alexandria.

```
4
Lattice="1.7963 -2.2572 0.0000 1.7963 2.2572 0.0000 0.0000 0.0000 8.2727" Properties=species:S:1:pos:R:3 pbc="T T T"
Al 0.0000 0.0000 1.9498
Al 0.0000 0.0000 6.3230
W 1.7963 0.0000 0.0000
Se 1.7963 0.0000 4.1364
```


7.
First-principles (PBE-GGA) data for a relaxed AlWSe2 crystal, as listed in Alexandria.

```
4
Lattice="4.6298 0.0000 0.0000 0.0000 4.6298 0.0000 0.0000 0.0000 3.1204" Properties=species:S:1:pos:R:3 pbc="T T T"
Al 0.0000 0.0000 0.0000
W 2.3149 2.3149 0.0000
Se 0.0000 2.3149 1.5602
Se 2.3149 0.0000 1.5602
```


8.
First-principles (PBE-GGA) data for a relaxed AlW4Se2 crystal, as listed in Alexandria.

```
7
Lattice="-2.2628 2.2628 6.4176 2.2628 -2.2628 6.4176 2.2628 2.2628 -6.4176" Properties=species:S:1:pos:R:3 pbc="T T T"
Al 0.0000 0.0000 0.0000
W 2.2628 0.0000 0.0000
W 0.0000 0.0000 2.5487
W 0.0000 2.2628 0.0000
W 0.0000 0.0000 10.2865
Se 0.0000 0.0000 4.9433
Se 0.0000 0.0000 7.8919
```


Calculated M_tot, 0.00 0.00 0.00 2.77 0.00 0.00 0.09 0.00 μB/f.u. (same order as the records).
Calculated electronic total energy, -0.200 -0.253 -0.223 -0.168 -0.220 -0.213 -0.202 -0.272 hartree per atom (same order as the records).
Calculated D(E_F), 3.1 6.7 1.7 2.8 1.9 2.0 3.9 6.3 states/eV/f.u. (same order as the records).